The following is a PBE calculation of an optimized crystal structure of SrLa2F8, from Alexandria.

```
data_SrLa2F8
_cell_length_a 3.9853
_cell_length_b 6.3726
_cell_length_c 11.9051
_cell_angle_alpha 90.00
_cell_angle_beta 90.00
_cell_angle_gamma 90.00
_space_group_name_H-M_alt 'I m m m'
_space_group_IT_number 71
_space_group_name_Hall '-I 2 2'
loop_
_atom_site_label
_atom_site_type_symbol
_atom_site_fract_x
_atom_site_fract_y
_atom_site_fract_z
Sr1 Sr 0.0000 0.0000 0.0000
La1 La 0.0000 0.0000 0.3208
F1 F 0.0000 0.1994 0.5000
F2 F 0.0000 0.2747 0.1567
F3 F 0.0000 0.5000 0.3333
```

Results
* E_tot: -0.473 Ry/atom
* volume: 302.4 Å³ per cell
* magnetization: 0.282 μB/cell
* formation energy without anion corrections: -4025 meV per atom

=====

The following is a PBE calculation of an optimized crystal structure of Pr3NdY3Se8, from Alexandria.

```
data_Pr3NdY3Se8
_cell_length_a 8.3004
_cell_length_b 8.3004
_cell_length_c 20.5514
_cell_angle_alpha 90.00
_cell_angle_beta 90.00
_cell_angle_gamma 120.00
_space_group_name_H-M_alt 'R -3 m'
_space_group_IT_number 166
_space_group_name_Hall '-R 3 2"'
loop_
_atom_site_label
_atom_site_type_symbol
_atom_site_fract_x
_atom_site_fract_y
_atom_site_fract_z
Pr1 Pr 0.0000 0.5000 0.0000
Nd1 Nd 0.0000 0.0000 0.5000
Y1 Y 0.0000 0.5000 0.5000
Se1 Se 0.0000 0.0000 0.2450
Se2 Se 0.0140 0.5070 0.7516
```

Results
* E_tot: -0.462 Ry/atom
* volume: 1226.2 Å³ per cell
* magnetization: 0.000 μB/cell
* formation energy without anion corrections: -1861 meV per atom

=====

The following is a PBE calculation of an optimized crystal structure of YEr3Ni2, from Alexandria.

```
data_YEr3Ni2
_cell_length_a 14.8726
_cell_length_b 5.0057
_cell_length_c 8.0034
_cell_angle_alpha 90.00
_cell_angle_beta 111.26
_cell_angle_gamma 90.00
_space_group_name_H-M_alt 'C 1 2/m 1'
_space_group_IT_number 12
loop_
_space_group_symop_operation_xyz
'x,y,z'
'-x,-y,-z'
'-x,y,-z'
'x,-y,z'
'x+1/2,y+1/2,z'
'-x+1/2,-y+1/2,-z'
'-x+1/2,y+1/2,-z'
'x+1/2,-y+1/2,z'
loop_
_atom_site_label
_atom_site_type_symbol
_atom_site_fract_x
_atom_site_fract_y
_atom_site_fract_z
Y1 Y 0.1446 0.0000 0.2321
Er1 Er 0.0654 0.0000 0.7407
Er2 Er 0.1262 0.5000 0.5069
Er3 Er 0.1809 0.5000 0.9985
Ni1 Ni 0.0112 0.5000 0.1565
Ni2 Ni 0.2207 0.0000 0.6280
```

Results
* offset from the most stable computed form: 94.8 meV/atom
* E_tot: -0.404 Ry/atom
* volume: 555.3 Å³ per cell
* magnetization: 0.000 μB/cell